No. 1
Entry from Alexandria: Cs3Rb3HgCl8 after structural relaxation (PBE).

Crystal system = trigonal

a = 9.4748 Å, b = 9.4748 Å, c = 23.9084 Å
α = 90.00°, β = 90.00°, γ = 120.00°
Space group R-3m (No. 166, hexagonal axes)
Asymmetric unit:
Cs  0.0000  0.5000  0.0000 [9 per cell]
Rb  0.0000  0.5000  0.5000 [9 per cell]
Hg  0.0000  0.0000  0.5000 [3 per cell]
Cl  0.0000  0.0000  0.2448 [6 per cell]
Cl  0.0534  0.5267  0.2327 [18 per cell]

=====

No. 2
Entry from Alexandria: CsReHgCl2 after structural relaxation (PBE).

Crystal system = tetragonal

a = 5.096 Å, b = 5.096 Å, c = 5.495 Å
α = 90.00°, β = 90.00°, γ = 90.00°
Space group P4/mmm (No. 123)
Asymmetric unit:
Cs  0.000  0.000  0.000 [1 per cell]
Re  0.500  0.500  0.500 [1 per cell]
Hg  0.500  0.500  0.000 [1 per cell]
Cl  0.000  0.500  0.500 [2 per cell]

=====

No. 3
Entry from Alexandria: Cs2ReHgCl6 after structural relaxation (PBE).

Crystal system = cubic

a = 11.319 Å, b = 11.319 Å, c = 11.319 Å
α = 90.00°, β = 90.00°, γ = 90.00°
Space group Fm-3m (No. 225)
Asymmetric unit:
Cs  0.250  0.250  0.250 [8 per cell]
Re  0.000  0.000  0.000 [4 per cell]
Hg  0.000  0.000  0.500 [4 per cell]
Cl  0.000  0.000  0.210 [24 per cell]

=====

No. 4
Entry from Alexandria: Cs2Hg2RhCl4 after structural relaxation (PBE).

Crystal system = tetragonal

a = 8.089 Å, b = 8.089 Å, c = 8.483 Å
α = 90.00°, β = 90.00°, γ = 90.00°
Space group I4/mmm (No. 139)
Asymmetric unit:
Cs  0.000  0.500  0.250 [4 per cell]
Hg  0.000  0.000  0.172 [4 per cell]
Rh  0.000  0.000  0.500 [2 per cell]
Cl  0.209  0.209  0.500 [8 per cell]

=====

no.,formation energy (no corrections) (kcal/mol of atoms)
1,-38.89
2,-2.32
3,-26.42
4,-24.48